A plane-wave DFT calculation with PBE-GGA was carried out for a relaxed structure of Mg2TlFe.

Summary:
formation enthalpy at 0 K: 0.271 eV per atom
raw total energy: -3.23 eV/atom
size of the total moment: 2.50 μB per cell
calculated density: 6.52 g/cm3
offset from the most stable computed form: 87 meV per atom

abc: 5.101 5.101 3.165
angles: 90.00 90.00 107.34
Each line ends with the local moment (μB).
Element x y z (fractional)
Mg 0.000 0.000 0.000  -0.03
Tl 0.500 0.000 0.500  0.00
Mg 0.500 0.500 0.000  -0.03
Fe 0.000 0.500 0.500  2.72

---

A plane-wave DFT calculation with PBE-GGA was carried out for a relaxed structure of Nd3TeO3.

Summary:
raw total energy: -7.38 eV/atom
size of the total moment: 0.00 μB per cell
calculated density: 6.44 g/cm3
offset from the most stable computed form: 0 meV per atom

abc: 6.975 6.975 8.464
angles: 65.67 65.67 60.00
Element x y z (fractional)
O 0.208 0.874 0.379
O 0.461 0.792 0.621
Nd 0.570 0.900 0.301
Te 0.333 0.333 0.000
O 0.539 0.208 0.379
Nd 0.100 0.771 0.699
Nd 0.229 0.570 0.301
Nd 0.900 0.229 0.301
O 0.874 0.539 0.379
Te 0.667 0.667 0.000
Nd 0.771 0.430 0.699
Nd 0.430 0.100 0.699
O 0.126 0.461 0.621
O 0.792 0.126 0.621

---

A plane-wave DFT calculation with PBE-GGA was carried out for a relaxed structure of Sm2Ho6Sc3.

Summary:
formation enthalpy at 0 K: 0.200 eV per atom
raw total energy: -4.88 eV/atom
size of the total moment: 0.00 μB per cell
calculated density: 6.85 g/cm3

abc: 5.970 5.978 11.350
angles: 84.93 79.81 60.04
Element x y z (fractional)
Sc 0.000 0.000 0.000
Sc 0.665 0.669 0.000
Sm 0.833 0.333 0.500
Ho 0.586 0.334 0.240
Sc 0.335 0.331 0.000
Ho 0.253 0.000 0.240
Ho 0.080 0.334 0.760
Ho 0.414 0.666 0.760
Ho 0.747 0.000 0.760
Ho 0.920 0.666 0.240
Sm 0.167 0.667 0.500

---

A plane-wave DFT calculation with PBE-GGA was carried out for a relaxed structure of Cs2LiBi.

Summary:
formation enthalpy at 0 K: -0.384 eV per atom
raw total energy: -2.26 eV/atom
size of the total moment: 0.00 μB per cell
calculated density: 3.85 g/cm3
offset from the most stable computed form: 27 meV per atom

abc: 6.687 5.360 8.556
angles: 128.55 112.97 90.04
Element x y z (fractional)
Cs 0.167 0.075 0.333
Bi 0.500 0.510 0.000
Cs 0.833 0.941 0.667
Li 0.500 0.010 0.000

---

A plane-wave DFT calculation with PBE-GGA was carried out for a relaxed structure of SmTm3Al4.

Summary:
formation enthalpy at 0 K: -0.383 eV per atom
raw total energy: -4.52 eV/atom
size of the total moment: 0.00 μB per cell
calculated density: 6.90 g/cm3

abc: 5.051 7.215 10.100
angles: 90.00 90.00 90.00
Element x y z (fractional)
Tm 0.500 0.000 0.250
Al 0.000 0.758 0.750
Al 0.500 0.242 0.000
Tm 0.500 0.500 0.250
Al 0.000 0.758 0.250
Al 0.500 0.242 0.500
Tm 0.500 0.000 0.750
Tm 0.500 0.500 0.750
Tm 0.000 0.000 0.500
Al 0.500 0.758 0.500
Sm 0.000 0.500 0.000
Tm 0.000 0.000 0.000
Al 0.000 0.242 0.250
Al 0.500 0.758 0.000
Sm 0.000 0.500 0.500
Al 0.000 0.242 0.750

---

A plane-wave DFT calculation with PBE-GGA was carried out for a relaxed structure of La8Ho6In.

Summary:
formation enthalpy at 0 K: 0.069 eV per atom
raw total energy: -4.57 eV/atom
size of the total moment: 0.00 μB per cell
calculated density: 7.27 g/cm3

abc: 6.742 9.308 9.308
angles: 120.00 90.00 90.00
Element x y z (fractional)
La 0.172 0.768 0.049
La 0.172 0.281 0.232
Ho 0.349 0.341 0.898
Ho 0.651 0.443 0.341
La 0.828 0.719 0.768
La 0.873 0.333 0.667
Ho 0.349 0.102 0.443
La 0.828 0.049 0.281
Ho 0.651 0.659 0.102
La 0.828 0.232 0.951
Ho 0.349 0.557 0.659
La 0.127 0.667 0.333
La 0.172 0.951 0.719
In 0.500 0.000 0.000
Ho 0.651 0.898 0.557

---

A plane-wave DFT calculation with PBE-GGA was carried out for a relaxed structure of ThAsRh2.

Summary:
formation enthalpy at 0 K: -0.589 eV per atom
raw total energy: -7.28 eV/atom
size of the total moment: 0.00 μB per cell
calculated density: 10.50 g/cm3
offset from the most stable computed form: 354 meV per atom

abc: 4.093 4.399 4.542
angles: 97.50 90.00 90.00
Element x y z (fractional)
Rh 0.000 0.797 0.719
Rh 0.000 0.203 0.281
As 0.500 0.000 0.500
Th 0.500 0.500 0.000

---

A plane-wave DFT calculation with PBE-GGA was carried out for a relaxed structure of KNiAg2.

Summary:
formation enthalpy at 0 K: 0.352 eV per atom
raw total energy: -2.79 eV/atom
size of the total moment: 0.21 μB per cell
calculated density: 5.63 g/cm3
offset from the most stable computed form: 34 meV per atom

abc: 4.428 2.873 7.275
angles: 89.67 90.00 90.00
Each line ends with the local moment (μB).
Element x y z (fractional)
Ag 0.500 0.125 0.187  0.00
Ag 0.000 0.128 0.928  0.00
Ni 0.500 0.630 0.880  0.23
K 0.000 0.616 0.506  0.00